## Ba2MgAl3Au4 (PBE)

Data for an optimized crystal structure of Ba2MgAl3Au4.

abc: 4.686 4.686 10.857
angles: 90.00 90.00 90.00
Sites, in units of the cell vectors:
1 Au 0.500 0.500 0.000
2 Au 0.000 0.500 0.366
3 Au 0.500 0.000 0.634
4 Al 0.000 0.500 0.117
5 Al 0.000 0.000 0.500
6 Ba 0.000 0.500 0.755
7 Al 0.500 0.000 0.883
8 Mg 0.500 0.500 0.500
9 Au 0.000 0.000 0.000
10 Ba 0.500 0.000 0.245

Summary:
- DFT formation energy: -0.59 eV per atom

---

## BaMgAl2Au4 (PBE)

Data for an optimized crystal structure of BaMgAl2Au4.

abc: 4.518 4.518 10.160
angles: 77.15 77.15 60.00
Sites, in units of the cell vectors:
1 Ba 0.000 0.000 0.000
2 Au 0.592 0.592 0.224
3 Au 0.408 0.408 0.776
4 Mg 0.500 0.500 0.500
5 Al 0.234 0.234 0.299
6 Au 0.867 0.867 0.399
7 Al 0.766 0.766 0.701
8 Au 0.133 0.133 0.601

Summary:
- DFT formation energy: -0.53 eV per atom

---

## Ba3Mg2Al2Au4 (PBE)

Data for an optimized crystal structure of Ba3Mg2Al2Au4.

abc: 4.579 4.579 17.670
angles: 90.00 90.00 120.00
Sites, in units of the cell vectors:
1 Au 0.667 0.333 0.140
2 Ba 0.000 0.000 0.000
3 Au 0.333 0.667 0.860
4 Mg 0.333 0.667 0.556
5 Mg 0.667 0.333 0.444
6 Al 0.333 0.667 0.138
7 Au 0.333 0.667 0.400
8 Au 0.667 0.333 0.600
9 Al 0.667 0.333 0.862
10 Ba 0.000 0.000 0.723
11 Ba 0.000 0.000 0.277

Summary:
- DFT formation energy: -0.52 eV per atom

---

Taking the records one at a time from the top gives E_tot values of -3.570 -3.544 -3.209 eV/atom.